Compound: VSeF3
Source: Alexandria via LeMat-Bulk
Functional: PBE with a Hubbard U
Structure: optimized geometry

Results
Distance to the lowest polymorph of the same formula   1.168 eV per atom
DFT total energy   -18.514 eV per cell

Cell lengths 4.469, 4.469, 4.469 Å; angles 90.00, 90.00, 90.00 degrees
Space group Pm-3m (No. 221)
One atom of each set of equivalent atoms:
1 V 0.000 0.000 0.000 [1 per cell]
2 Se 0.500 0.500 0.500 [1 per cell]
3 F 0.000 0.500 0.500 [3 per cell]